1.
DFT (PBE-GGA) results for a relaxed BaCd5 crystal.

Cell: 5.1832 5.1832 7.5761 Å, 84.43 84.43 57.80°
Closest atoms and distances in Å follow each position.
Atoms (fractional coordinates):
Ba 0.9724 0.9724 0.0555  14 Cd 3.65-3.79
Cd 0.2834 0.2834 0.3496  5 Cd 2.96-3.21
Cd 0.6612 0.6612 0.7619  5 Cd 2.96-3.21
Cd 0.6097 0.6097 0.3494  6 Cd 2.96-3.21
Cd 0.9716 0.9716 0.5548  6 Cd 3.07-3.14
Cd 0.3351 0.3351 0.7621  6 Cd 2.96-3.21

Summary:
E_tot = -1.283 eV/atom
ΔE_f = -0.20 eV per atom
Total magnetization = 0.00 μB per formula unit

2.
DFT (PBE-GGA) results for a relaxed BaCd2 crystal.

Cell: 5.3048 6.6320 6.6320 Å, 78.25 66.53 66.53°
Closest atoms and distances in Å follow each position.
Atoms (fractional coordinates):
Ba 0.4562 0.7945 0.2945  12 Cd 3.61-3.85
Ba 0.5438 0.2055 0.7055  12 Cd 3.61-3.85
Cd 0.8350 0.2224 0.1072  4 Cd 3.05-3.22
Cd 0.1650 0.7776 0.8928  4 Cd 3.05-3.22
Cd 0.1650 0.3928 0.2776  4 Cd 3.05-3.22
Cd 0.8350 0.6072 0.7224  4 Cd 3.05-3.22

Summary:
E_tot = -1.587 eV/atom
ΔE_f = -0.34 eV per atom
Total magnetization = 0.00 μB per formula unit

3.
DFT (PBE-GGA) results for a relaxed Ba4Cd3 crystal.

Cell: 6.0224 6.0224 10.4084 Å, 73.18 73.18 60.00°
Closest atoms and distances in Å follow each position.
Atoms (fractional coordinates):
Ba 0.6256 0.6256 0.1231  7 Cd 3.65-3.69
Ba 0.8760 0.8760 0.3719  5 Cd 3.65-3.72
Ba 0.1240 0.1240 0.6281  5 Cd 3.65-3.72
Ba 0.3744 0.3744 0.8769  7 Cd 3.65-3.69
Cd 0.2503 0.2503 0.2490  8 Ba 3.65-3.72
Cd 0.7497 0.7497 0.7510  8 Ba 3.65-3.72
Cd 0.0000 0.0000 0.0000  8 Ba 3.65-3.68

Summary:
E_tot = -1.732 eV/atom
ΔE_f = -0.24 eV per atom
Total magnetization = 0.00 μB per formula unit

4.
DFT (PBE-GGA) results for a relaxed BaCd5 crystal.

Cell: 6.1899 6.1899 6.1899 Å, 60.00 60.00 60.00°
Closest atoms and distances in Å follow each position.
Atoms (fractional coordinates):
Ba 0.0000 0.0000 0.0000  16 Cd 3.63-3.79
Cd 0.7500 0.7500 0.7500  12 Cd 3.63, 4 Ba 3.79
Cd 0.3758 0.3758 0.8727  6 Cd 3.08-3.11
Cd 0.3758 0.3758 0.3758  6 Cd 3.08-3.11
Cd 0.8727 0.3758 0.3758  6 Cd 3.08-3.11
Cd 0.3758 0.8727 0.3758  6 Cd 3.08-3.11

Summary:
E_tot = -1.240 eV/atom
ΔE_f = -0.16 eV per atom
Total magnetization = 0.00 μB per formula unit

5.
DFT (PBE-GGA) results for a relaxed BaCeCd4 crystal.

Cell: 6.1809 6.1809 6.1809 Å, 60.00 60.00 60.00°
Closest atoms and distances in Å follow each position.
Atoms (fractional coordinates):
Ba 0.0000 0.0000 0.0000  12 Cd 3.63, 4 Ce 3.78
Ce 0.2500 0.2500 0.2500  12 Cd 3.62, 4 Ba 3.78
Cd 0.6242 0.6242 0.1275  6 Cd 3.07-3.11
Cd 0.6242 0.1275 0.6242  6 Cd 3.07-3.11
Cd 0.6242 0.6242 0.6242  6 Cd 3.07-3.11
Cd 0.1275 0.6242 0.6242  6 Cd 3.07-3.11

Summary:
E_tot = -2.094 eV/atom
Energy relative to the lowest polymorph listed for this composition = 118 meV per atom
ΔE_f = -0.17 eV per atom
Total magnetization = 1.08 μB per formula unit

6.
DFT (PBE-GGA) results for a relaxed Ba2CeCd6 crystal.

Cell: 3.6604 9.1342 9.1342 Å, 60.00 89.99 89.99°
Closest atoms and distances in Å follow each position.
Atoms (fractional coordinates):
Ba 0.0000 0.3333 0.3333  12 Cd 3.58, 2 Ba 3.66
Ba 0.0000 0.6667 0.6667  12 Cd 3.58, 2 Ba 3.66
Ce 0.0000 0.0000 0.0000  12 Cd 3.49, 2 Ce 3.66
Cd 0.4998 0.6745 0.0000  3 Cd 2.97-3.19
Cd 0.5002 0.0000 0.3255  3 Cd 2.97-3.19
Cd 0.5002 0.3255 0.0000  3 Cd 2.97-3.19
Cd 0.5000 0.6745 0.3255  3 Cd 2.97-3.19
Cd 0.4998 0.0000 0.6745  3 Cd 2.97-3.19
Cd 0.5000 0.3255 0.6745  3 Cd 2.97-3.19

Summary:
E_tot = -1.953 eV/atom
ΔE_f = -0.26 eV per atom
Total magnetization = 1.34 μB per formula unit

7.
DFT (PBE-GGA) results for a relaxed BaCeCd4 crystal.

Cell: 5.0882 5.0882 8.0058 Å, 89.98 90.01 120.00°
Closest atoms and distances in Å follow each position.
Atoms (fractional coordinates):
Ba 0.0039 0.4994 0.4981  12 Cd 3.80, 2 Ce 4.00
Ce 0.0040 0.4995 0.9981  12 Cd 3.34-3.35
Cd 0.6708 0.8330 0.1977  4 Cd 2.94-3.20
Cd 0.3373 0.1659 0.7986  4 Cd 2.94-3.20
Cd 0.6706 0.8326 0.7986  4 Cd 2.94-3.20
Cd 0.3375 0.1663 0.1977  4 Cd 2.94-3.20

Summary:
E_tot = -2.212 eV/atom
Energy relative to the lowest polymorph listed for this composition = 0 meV per atom
ΔE_f = -0.29 eV per atom
Total magnetization = 0.89 μB per formula unit

8.
DFT (PBE-GGA) results for a relaxed BaCeCd10 crystal.

Cell: 4.8887 6.0378 10.4406 Å, 90.00 90.00 90.00°
Closest atoms and distances in Å follow each position.
Atoms (fractional coordinates):
Ba 0.0000 0.5000 0.5000  10 Cd 3.52-3.88
Ce 0.0000 0.0000 0.0000  14 Cd 3.41-3.80
Cd 0.0000 0.0000 0.3265  6 Cd 2.99-3.04
Cd 0.0000 0.5000 0.8401  6 Cd 2.96-3.01
Cd 0.0000 0.5000 0.1599  6 Cd 2.96-3.01
Cd 0.0000 0.0000 0.6735  6 Cd 2.99-3.04
Cd 0.5000 0.0000 0.5000  8 Cd 3.04-3.09
Cd 0.5000 0.5000 0.0000  8 Cd 2.94-2.96
Cd 0.5000 0.2441 0.2398  8 Cd 2.94-3.09
Cd 0.5000 0.7559 0.7602  8 Cd 2.94-3.09
Cd 0.5000 0.7559 0.2398  8 Cd 2.94-3.09
Cd 0.5000 0.2441 0.7602  8 Cd 2.94-3.09

Summary:
E_tot = -1.591 eV/atom
ΔE_f = -0.17 eV per atom
Total magnetization = 1.17 μB per formula unit

9.
DFT (PBE-GGA) results for a relaxed BaCeCd crystal.

Cell: 4.9300 4.1697 12.1659 Å, 90.00 101.69 90.00°
Closest atoms and distances in Å follow each position.
Atoms (fractional coordinates):
Ce 0.4620 0.7500 0.9241  2 Ce 2.76
Ce 0.5380 0.2500 0.0759  2 Ce 2.76
Ba 0.8208 0.7500 0.6416  2 Cd 3.63
Ba 0.1792 0.2500 0.3584  2 Cd 3.63
Cd 0.9454 0.2500 0.8909  6 Ce 3.25-3.31, 2 Cd 3.33, 2 Ba 3.63
Cd 0.0546 0.7500 0.1091  6 Ce 3.25-3.31, 2 Cd 3.33, 2 Ba 3.63

Summary:
E_tot = -2.904 eV/atom
ΔE_f = 0.02 eV per atom
Total magnetization = 0.93 μB per formula unit

10.
DFT (PBE-GGA) results for a relaxed BaCe2Cd crystal.

Cell: 3.4828 3.4828 12.6610 Å, 82.09 82.09 60.00°
Closest atoms and distances in Å follow each position.
Atoms (fractional coordinates):
Ba 0.0000 0.0000 0.0000  6 Ba 3.48, 2 Ce 3.59
Ce 0.0957 0.0957 0.7130  3 Cd 3.34, 6 Ce 3.48, 1 Ba 3.59
Ce 0.9043 0.9043 0.2870  3 Cd 3.34, 6 Ce 3.48, 1 Ba 3.59
Cd 0.5000 0.5000 0.5000  6 Ce 3.34, 6 Cd 3.48

Summary:
E_tot = -3.386 eV/atom
ΔE_f = 0.29 eV per atom
Total magnetization = 2.22 μB per formula unit

11.
DFT (PBE-GGA) results for a relaxed BaCe2Cd6 crystal.

Cell: 3.4315 9.0174 9.0164 Å, 120.00 89.98 90.00°
Closest atoms and distances in Å follow each position.
Atoms (fractional coordinates):
Ba 0.0000 0.0000 0.0000  2 Ba 3.43, 12 Cd 3.51
Ce 0.0000 0.3334 0.6668  2 Ce 3.43, 12 Cd 3.43-3.44
Ce 0.0000 0.6666 0.3332  2 Ce 3.43, 12 Cd 3.43-3.44
Cd 0.5005 0.3397 0.3399  3 Cd 2.89-3.06
Cd 0.4995 0.6603 0.6601  3 Cd 2.89-3.06
Cd 0.4995 0.9999 0.6601  3 Cd 2.89-3.06
Cd 0.5000 0.6603 0.0000  3 Cd 2.89-3.06
Cd 0.5000 0.3397 0.0000  3 Cd 2.89-3.06
Cd 0.5005 0.0001 0.3399  3 Cd 2.89-3.06

Summary:
E_tot = -2.383 eV/atom
ΔE_f = -0.24 eV per atom
Total magnetization = 2.66 μB per formula unit

12.
DFT (PBE-GGA) results for a relaxed BaCe2Cd9 crystal.

Cell: 6.0830 6.0830 10.4104 Å, 73.01 73.01 60.00°
Closest atoms and distances in Å follow each position.
Atoms (fractional coordinates):
Ba 0.0000 0.0000 0.0000  6 Cd 3.51
Ce 0.8513 0.8513 0.4461  12 Cd 3.39-3.56, 3 Ce 3.67
Ce 0.1487 0.1487 0.5539  12 Cd 3.39-3.56, 3 Ce 3.67
Cd 0.6643 0.6643 0.0071  6 Cd 3.03-3.10
Cd 0.3357 0.3357 0.9929  6 Cd 3.03-3.10
Cd 0.5000 0.5000 0.5000  6 Cd 2.99
Cd 0.4111 0.4111 0.2563  7 Cd 2.98-3.11
Cd 0.9215 0.4111 0.2563  7 Cd 2.98-3.11
Cd 0.4111 0.9215 0.2563  7 Cd 2.98-3.11
Cd 0.5889 0.5889 0.7437  7 Cd 2.98-3.11
Cd 0.5889 0.0785 0.7437  7 Cd 2.98-3.11
Cd 0.0785 0.5889 0.7437  7 Cd 2.98-3.11

Summary:
E_tot = -2.041 eV/atom
ΔE_f = -0.20 eV per atom
Total magnetization = 2.46 μB per formula unit